Record 1
Material: Be2ReRh2
Method: DFT, PBEsol
State: optimized geometry

Cell: 3.842 3.842 4.902 Å, 113.07 113.07 90.00°
Atoms (fractional coordinates):
Re (0.000, 0.000, 0.000)
Rh (0.353, 0.353, 0.707)
Rh (0.647, 0.647, 0.293)
Be (0.250, 0.750, 0.500)
Be (0.750, 0.250, 0.500)

Values from the calculation:
As for the crystal system: tetragonal. As for the energy relative to the elements: 360.8 meV per atom.


Record 2
Material: In3ReIr
Method: DFT, PBEsol
State: optimized geometry

Cell: 5.029 5.029 5.029 Å, 90.00 90.00 90.00°
Last column: magnetic moment on the atom in μB.
Atoms (fractional coordinates):
Re (0.500, 0.500, 0.500)  3.23
Ir (0.000, 0.000, 0.000)  0.08
In (0.000, 0.500, 0.000)  -0.01
In (0.000, 0.000, 0.500)  -0.01
In (0.500, 0.000, 0.000)  -0.01

Values from the calculation:
As for the crystal system: cubic. As for the energy relative to the elements: 1210.2 meV per atom.


Record 3
Material: TlPW2
Method: DFT, PBEsol
State: optimized geometry

Cell: 3.200 4.994 5.120 Å, 119.19 108.21 90.00°
Atoms (fractional coordinates):
P (0.500, 0.000, 0.000)
Tl (0.000, 0.500, 0.000)
W (0.796, 0.796, 0.592)
W (0.204, 0.204, 0.408)

Values from the calculation:
As for the crystal system: orthorhombic. As for the energy relative to the elements: 583.7 meV per atom.


Record 4
Material: ScTl3Sn
Method: DFT, PBEsol
State: optimized geometry

Cell: 5.547 5.547 5.547 Å, 90.00 90.00 90.00°
Atoms (fractional coordinates):
Sc (0.500, 0.500, 0.500)
Tl (0.000, 0.500, 0.000)
Tl (0.000, 0.000, 0.500)
Tl (0.500, 0.000, 0.000)
Sn (0.000, 0.000, 0.000)

Values from the calculation:
As for the crystal system: cubic. As for the energy relative to the elements: 649.3 meV per atom.


Record 5
Material: BaCaRu2
Method: DFT, PBEsol
State: optimized geometry

Cell: 3.112 5.542 5.542 Å, 112.46 103.10 103.10°
Atoms (fractional coordinates):
Ru (0.000, 0.000, 0.500)
Ru (0.000, 0.500, 0.000)
Ca (0.500, 0.000, 0.000)
Ba (0.500, 0.500, 0.500)

Values from the calculation:
As for the crystal system: monoclinic. As for the energy relative to the elements: 931.5 meV per atom.


Record 6
Material: YTc2Rh
Method: DFT, PBEsol
State: optimized geometry

Cell: 2.755 2.755 8.521 Å, 90.00 90.00 90.00°
Atoms (fractional coordinates):
Rh (0.500, 0.500, 0.500)
Tc (0.000, 0.000, 0.717)
Tc (0.000, 0.000, 0.283)
Y (0.500, 0.500, 0.000)

Values from the calculation:
As for the crystal system: tetragonal. As for the energy relative to the elements: 267.1 meV per atom.


Record 7
Material: MgMo2Br
Method: DFT, PBEsol
State: optimized geometry

Cell: 3.064 3.064 8.688 Å, 90.00 90.00 115.68°
Atoms (fractional coordinates):
Br (0.000, 0.000, 0.493)
Mg (0.500, 0.500, 0.251)
Mo (0.000, 0.000, 0.982)
Mo (0.500, 0.500, 0.775)

Values from the calculation:
As for the crystal system: orthorhombic. The formation energy without anion corrections comes out at 0.273 eV per atom.


Record 8
Material: CoPt2Br
Method: DFT, PBEsol
State: optimized geometry

Cell: 3.913 3.913 4.872 Å, 113.68 113.68 90.00°
Last column: magnetic moment on the atom in μB.
Atoms (fractional coordinates):
Co (0.000, 0.000, 0.000)  2.09
Br (0.500, 0.500, 0.000)  0.15
Pt (0.750, 0.250, 0.500)  0.38
Pt (0.250, 0.750, 0.500)  0.38

Values from the calculation:
As for the crystal system: tetragonal. The formation energy without anion corrections comes out at 0.679 eV per atom.


Record 9
Material: Ag2HRuS
Method: DFT, PBEsol
State: optimized geometry

Cell: 3.636 3.636 5.156 Å, 90.00 90.00 90.00°
Last column: magnetic moment on the atom in μB.
Atoms (fractional coordinates):
Ru (0.500, 0.500, 0.500)  0.94
S (0.000, 0.000, 0.500)  0.08
Ag (0.000, 0.500, 0.000)  0.01
Ag (0.500, 0.000, 0.000)  0.01
H (0.000, 0.000, 0.000)  0.00

Values from the calculation:
As for the crystal system: tetragonal. Its final energy is -4.272 eV/atom.


Record 10
Material: ZnAgAu2
Method: DFT, PBEsol
State: optimized geometry

Cell: 3.529 4.275 5.086 Å, 114.85 110.30 90.00°
Atoms (fractional coordinates):
Zn (0.500, 0.000, 0.000)
Au (0.769, 0.769, 0.539)
Au (0.231, 0.231, 0.461)
Ag (0.000, 0.500, 0.000)

Values from the calculation:
As for the crystal system: orthorhombic. As for the energy relative to the elements: -128.4 meV per atom.


Record 11
Material: P2IrRu
Method: DFT, PBEsol
State: optimized geometry

Cell: 2.862 4.803 4.803 Å, 108.45 106.62 106.62°
Atoms (fractional coordinates):
Ir (0.000, 0.500, 0.500)
P (0.000, 0.500, 0.000)
P (0.000, 0.000, 0.500)
Ru (0.000, 0.000, 0.000)

Values from the calculation:
As for the crystal system: monoclinic. As for the energy relative to the elements: 200.0 meV per atom.


Record 12
Material: BaCa2Au
Method: DFT, PBEsol
State: optimized geometry

Cell: 3.974 6.481 6.989 Å, 117.54 90.00 107.85°
Atoms (fractional coordinates):
Ca (0.015, 0.029, 0.968)
Ca (0.827, 0.655, 0.273)
Au (0.468, 0.936, 0.624)
Ba (0.190, 0.380, 0.635)

Values from the calculation:
As for the crystal system: monoclinic. As for the energy relative to the elements: -343.9 meV per atom.


Record 13
Material: ReW2
Method: DFT, PBEsol
State: optimized geometry

Cell: 3.127 4.431 6.817 Å, 90.00 103.26 90.00°
Atoms (fractional coordinates):
Re (0.418, 0.750, 0.836)
Re (0.582, 0.250, 0.164)
W (0.084, 0.750, 0.168)
W (0.916, 0.250, 0.832)
W (0.749, 0.750, 0.497)
W (0.251, 0.250, 0.503)

Values from the calculation:
As for the crystal system: orthorhombic. As for the energy relative to the elements: 67.9 meV per atom.


Record 14
Material: AuSeBr2
Method: DFT, PBEsol
State: optimized geometry

Cell: 3.620 3.784 8.033 Å, 90.00 90.00 118.57°
Atoms (fractional coordinates):
Au (0.500, 0.000, 0.000)
Br (0.000, 0.000, 0.769)
Br (0.000, 0.000, 0.231)
Se (0.500, 0.000, 0.500)

Values from the calculation:
As for the crystal system: orthorhombic. The formation energy without anion corrections comes out at 0.293 eV per atom.


Record 15
Material: Cs2GaNiPt
Method: DFT, PBEsol
State: optimized geometry

Cell: 4.619 5.572 5.572 Å, 90.00 90.00 90.00°
Last column: magnetic moment on the atom in μB.
Atoms (fractional coordinates):
Cs (0.000, 0.000, 0.500)  0.00
Cs (0.000, 0.500, 0.000)  0.00
Ni (0.000, 0.000, 0.000)  0.00
Ga (0.500, 0.000, 0.000)  0.00
Pt (0.500, 0.500, 0.500)  0.14

Values from the calculation:
As for the crystal system: tetragonal. As for the energy relative to the elements: 645.6 meV per atom.


Record 16
Material: KRhPb2
Method: DFT, PBEsol
State: optimized geometry

Cell: 4.462 4.622 4.622 Å, 90.00 90.00 90.00°
Atoms (fractional coordinates):
K (0.500, 0.000, 0.000)
Pb (0.000, 0.000, 0.500)
Pb (0.000, 0.500, 0.000)
Rh (0.500, 0.500, 0.500)

Values from the calculation:
As for the crystal system: tetragonal. As for the energy relative to the elements: 399.1 meV per atom.


Record 17
Material: Sc5Ir3
Method: DFT, PBEsol
State: optimized geometry

Cell: 5.598 7.814 7.814 Å, 120.00 90.00 90.00°
Atoms (fractional coordinates):
Ir (0.250, 0.000, 0.392)
Ir (0.750, 0.000, 0.608)
Ir (0.250, 0.608, 0.608)
Ir (0.750, 0.608, 0.000)
Ir (0.750, 0.392, 0.392)
Ir (0.250, 0.392, 0.000)
Sc (0.750, 0.000, 0.259)
Sc (0.250, 0.000, 0.741)
Sc (0.750, 0.741, 0.741)
Sc (0.250, 0.741, 0.000)
Sc (0.000, 0.667, 0.333)
Sc (0.500, 0.667, 0.333)
Sc (0.000, 0.333, 0.667)
Sc (0.500, 0.333, 0.667)
Sc (0.250, 0.259, 0.259)
Sc (0.750, 0.259, 0.000)

Values from the calculation:
As for the crystal system: hexagonal. As for the energy relative to the elements: -798.6 meV per atom.


Record 18
Material: Ca4RuRh
Method: DFT, PBEsol
State: optimized geometry

Cell: 5.766 5.766 5.766 Å, 60.00 60.00 60.00°
Last column: magnetic moment on the atom in μB.
Atoms (fractional coordinates):
Ca (0.375, 0.375, 0.375)  -0.02
Ca (0.375, 0.375, 0.875)  -0.02
Ca (0.875, 0.375, 0.375)  -0.02
Ca (0.375, 0.875, 0.375)  -0.02
Rh (0.750, 0.750, 0.750)  0.28
Ru (0.000, 0.000, 0.000)  0.79

Values from the calculation:
As for the crystal system: cubic. As for the energy relative to the elements: 1062.4 meV per atom.


Record 19
Material: CsBaO2F
Method: DFT, PBEsol
State: optimized geometry

Cell: 4.565 4.565 5.074 Å, 90.00 90.00 90.00°
Atoms (fractional coordinates):
Cs (0.000, 0.000, 0.000)
Ba (0.500, 0.500, 0.500)
O (0.000, 0.500, 0.000)
O (0.500, 0.000, 0.000)
F (0.000, 0.000, 0.500)

Values from the calculation:
As for the crystal system: tetragonal. The formation energy without anion corrections comes out at -1.337 eV per atom.


Record 20
Material: HgPb2
Method: DFT, PBEsol
State: optimized geometry

Cell: 3.329 5.355 5.355 Å, 120.00 90.00 90.00°
Atoms (fractional coordinates):
Pb (0.735, 0.333, 0.667)
Pb (0.265, 0.667, 0.333)
Hg (0.000, 0.000, 0.000)

Values from the calculation:
As for the crystal system: trigonal. As for the energy relative to the elements: 13.3 meV per atom.


no.,ρ (kg/m³)
1,11305
2,9435
3,15013
4,7556
5,7813
6,9959
7,6691
8,14306
9,8525
10,14643
11,10801
12,4594
13,20006
14,7486
15,6825
16,9693
17,8991
18,4462
19,5046
20,12353